# 1
Material: Sm3YOs
Method: DFT, PBE-GGA
State: optimized geometry

Geometry as POSCAR:
```
Sm3YOs
1.0
-4.844 -2.684 -4.890
6.626 -2.875 -1.553
-1.730 -1.838 6.973
Sm Y Os
6 2 2
Cartesian
1.263 -2.468 0.186
0.766 -3.942 3.613
-4.277 -2.979 -2.185
-1.211 -4.929 0.345
-0.714 -3.455 -3.083
4.329 -4.418 2.716
-4.326 -3.408 1.744
4.378 -3.989 -1.213
-1.278 -2.900 2.148
1.330 -4.497 -1.618
```

Symmetry: No. 12
VASP energy, Ry per atom: -0.476

# 2
Material: Sm2YOs
Method: DFT, PBE-GGA
State: optimized geometry

Geometry as POSCAR:
```
Sm2YOs
1.0
-0.134 5.457 -3.362
-7.468 -0.085 0.159
0.113 4.891 7.935
Sm Os Y
8 4 4
Cartesian
-6.186 6.336 2.355
-2.431 9.088 4.687
-1.303 3.926 2.377
-6.143 8.159 5.313
-5.058 1.175 0.045
-5.016 2.998 3.002
-2.473 7.265 1.730
-1.346 2.103 -0.580
-0.853 6.606 4.153
-6.636 3.656 0.579
-2.846 1.409 1.910
-4.643 8.853 2.822
-7.095 4.320 5.652
-3.392 5.624 4.795
-4.097 4.639 -0.063
-0.394 5.943 -0.920
```

Symmetry: No. 62
Energy above the lowest structure with this stoichiometry, eV/atom: 0.0000
VASP energy, Ry per atom: -0.512

# 3
Material: SmY4Os2
Method: DFT, PBE-GGA
State: optimized geometry

Geometry as POSCAR:
```
SmY4Os2
1.0
6.360 0.000 0.000
0.000 7.439 -3.005
0.000 -0.067 7.815
Sm Y Os
2 8 4
Cartesian
1.590 6.176 5.103
4.770 1.196 -0.292
4.770 0.124 2.914
4.770 5.514 3.025
3.185 3.063 4.674
6.355 3.063 4.674
1.590 7.248 1.897
3.175 4.309 0.137
0.005 4.309 0.137
1.590 1.858 1.785
1.590 1.858 6.842
1.590 4.617 2.702
4.770 2.755 2.109
4.770 5.515 -2.031
```

Symmetry: No. 11
VASP energy, Ry per atom: -0.567

# 4
Material: Sm2YOs
Method: DFT, PBE-GGA
State: optimized geometry

Geometry as POSCAR:
```
Sm2YOs
1.0
3.546 0.000 0.000
1.773 3.071 0.000
1.773 1.024 10.891
Sm Y Os
2 1 1
Cartesian
5.320 3.071 3.464
1.773 1.024 7.427
0.000 0.000 0.000
3.546 2.048 5.446
```

Symmetry: No. 166
Energy above the lowest structure with this stoichiometry, eV/atom: 0.5266
VASP energy, Ry per atom: -0.473

# 5
Material: SmY2Os
Method: DFT, PBE-GGA
State: optimized geometry

Geometry as POSCAR:
```
SmY2Os
1.0
6.434 0.000 0.000
0.000 7.441 0.000
0.000 0.000 9.157
Y Os Sm
8 4 4
Cartesian
2.143 1.294 0.588
5.360 2.427 5.167
1.074 5.014 0.588
4.291 6.148 5.167
4.291 6.148 8.569
1.074 5.014 3.991
2.143 1.294 3.991
5.360 2.427 8.569
6.168 4.588 6.868
2.951 6.574 2.289
0.266 2.853 2.289
3.483 0.867 6.868
5.596 0.307 2.289
0.838 7.134 6.868
2.379 3.414 6.868
4.055 4.027 2.289
```

Symmetry: No. 62
Energy above the lowest structure with this stoichiometry, eV/atom: 0.0000
VASP energy, Ry per atom: -0.546

# 6
Material: SmY2Os
Method: DFT, PBE-GGA
State: optimized geometry

Geometry as POSCAR:
```
SmY2Os
1.0
-2.054 -3.159 1.244
-0.199 0.105 -6.394
7.602 -5.069 -0.321
Y Sm Os
4 2 2
Cartesian
1.903 -4.201 -1.200
3.446 -3.921 -4.270
6.220 -5.770 -4.388
-0.871 -2.352 -1.083
-0.166 -4.096 -4.351
5.514 -4.026 -1.120
4.079 -6.096 -2.420
1.269 -2.026 -3.051
```

Symmetry: No. 63
Energy above the lowest structure with this stoichiometry, eV/atom: 0.0198
VASP energy, Ry per atom: -0.545

# 7
Material: SmYOs
Method: DFT, PBE-GGA
State: optimized geometry

Geometry as POSCAR:
```
SmYOs
1.0
-1.246 2.824 -1.497
-2.589 -1.834 -1.305
-1.750 0.788 6.876
Os Sm Y
1 1 1
Cartesian
-3.152 0.927 0.442
-0.300 0.105 0.448
-2.133 0.747 3.185
```

Symmetry: No. 107
Energy above the lowest structure with this stoichiometry, eV/atom: 0.0000
VASP energy, Ry per atom: -0.560

# 8
Material: Sm2YOs
Method: DFT, PBE-GGA
State: optimized geometry

Geometry as POSCAR:
```
Sm2YOs
1.0
4.072 -0.170 0.000
-1.789 6.061 0.000
0.000 0.000 9.136
Os Sm Y
2 4 2
Cartesian
0.120 2.876 6.852
2.163 3.016 2.284
0.071 1.713 0.607
2.212 4.179 8.529
2.212 4.179 5.175
0.071 1.713 3.961
0.209 5.062 2.284
2.074 0.830 6.852
```

Symmetry: No. 63
Energy above the lowest structure with this stoichiometry, eV/atom: 0.0164
VASP energy, Ry per atom: -0.510

- Which value of VASP energy does entry 8 give?
  -0.510 Ry per atom